No. 1
Material: Rb2UCd2Te4
Method: DFT, GGA-PBE
State: optimized geometry

```
Rb2UCd2Te4
1.0
-3.038 -2.874 -2.081
-0.712 -4.634 7.442
-4.364 7.462 1.305
Rb U Cd Te
2 1 2 4
Direct
0.129 0.565 0.258
0.871 0.435 0.742
0.000 0.000 0.000
0.665 0.979 0.330
0.335 0.021 0.670
0.202 0.187 0.405
0.798 0.813 0.595
0.503 0.752 0.005
0.497 0.248 0.995
```

Theoretical density (g/cm³): 5.74
Crystal system: monoclinic
VASP energy (eV per atom): -3.684
Energy relative to the elements, uncorrected (eV per atom): -0.615


No. 2
Material: YTe2I2
Method: DFT, GGA-PBE
State: optimized geometry

```
YTe2I2
1.0
-3.360 0.642 2.596
1.753 -2.620 2.916
4.227 7.334 7.209
I Y Te
2 1 2
Direct
0.750 0.250 0.500
0.250 0.750 0.500
0.000 0.000 0.000
0.428 0.428 0.143
0.572 0.572 0.857
```

Theoretical density (g/cm³): 5.03
Crystal system: tetragonal
VASP energy (eV per atom): -3.491
Energy relative to the elements, uncorrected (eV per atom): -0.321


No. 3
Material: ReNi2Os
Method: DFT, GGA-PBE
State: optimized geometry

```
ReNi2Os
1.0
-0.759 -1.782 -1.775
2.312 1.158 -0.466
3.985 -6.153 4.474
Ni Os Re
2 1 1
Direct
0.000 0.000 0.006
0.500 0.500 0.242
0.000 0.000 0.492
0.500 0.500 0.759
```

Theoretical density (g/cm³): 15.35
Crystal system: orthorhombic
VASP energy (eV per atom): -8.451
Formation energy from the elements (eV/f.u.): 1.44


No. 4
Material: Ho3ZrRu4
Method: DFT, GGA-PBE
State: optimized geometry

```
Ho3ZrRu4
1.0
-1.429 -1.950 2.312
0.693 -2.700 -1.849
11.870 -1.254 6.277
Ru Ho Zr
4 3 1
Direct
0.000 0.000 0.884
0.000 0.000 0.116
0.000 0.000 0.373
0.000 0.000 0.627
0.500 0.500 0.249
0.500 0.500 0.500
0.500 0.500 0.751
0.500 0.500 0.000
```

Theoretical density (g/cm³): 10.90
Crystal system: tetragonal
VASP energy (eV per atom): -7.871
Formation energy from the elements (eV/f.u.): -3.59


No. 5
Material: MgTaSb2Te
Method: DFT, GGA-PBE
State: optimized geometry

```
MgTaSb2Te
1.0
5.162 0.000 0.000
0.000 5.162 0.000
0.000 0.000 5.328
Sb Mg Te Ta
2 1 1 1
Direct
0.000 0.500 0.000
0.500 0.000 0.000
0.000 0.000 0.000
0.000 0.000 0.500
0.500 0.500 0.500
```

Theoretical density (g/cm³): 6.74
Crystal system: tetragonal
VASP energy (eV per atom): -3.707
Energy relative to the elements, uncorrected (eV per atom): 1.260


No. 6
Material: BRuRh3
Method: DFT, GGA-PBE
State: optimized geometry

```
BRuRh3
1.0
-2.906 3.433 -1.198
0.641 -1.026 -4.495
-3.579 -2.971 0.168
Ru B Rh
1 1 3
Direct
0.000 0.000 0.000
0.500 0.500 0.500
0.000 0.500 0.000
0.000 0.000 0.500
0.500 0.000 0.000
```

Theoretical density (g/cm³): 6.92
Crystal system: cubic
VASP energy (eV per atom): -5.459
Formation energy from the elements (eV/f.u.): 10.71


No. 7
Material: La2DyCdTe5
Method: DFT, GGA-PBE
State: optimized geometry

```
La2DyCdTe5
1.0
4.426 0.000 0.000
-2.213 9.658 0.000
0.000 0.000 13.558
La Dy Cd Te
4 2 2 10
Direct
0.869 0.738 0.808
0.116 0.233 0.683
0.131 0.262 0.308
0.884 0.767 0.183
0.800 0.599 0.511
0.200 0.401 0.011
0.559 0.117 0.955
0.441 0.883 0.455
0.359 0.718 0.000
0.693 0.386 0.847
0.497 0.993 0.772
0.287 0.575 0.669
0.953 0.907 0.577
0.641 0.282 0.500
0.307 0.614 0.347
0.503 0.007 0.272
0.713 0.425 0.169
0.047 0.093 0.077
```

Theoretical density (g/cm³): 6.82
Crystal system: orthorhombic
VASP energy (eV per atom): -4.708
Energy relative to the elements, uncorrected (eV per atom): -1.255


No. 8
Material: SrZr2Hg
Method: DFT, GGA-PBE
State: optimized geometry

```
SrZr2Hg
1.0
5.735 -0.001 0.000
1.908 5.409 0.000
-3.822 -2.704 3.313
Hg Sr Zr
1 1 2
Direct
0.500 0.500 0.000
0.750 0.250 0.500
0.000 0.000 0.000
0.250 0.750 0.500
```

Theoretical density (g/cm³): 7.60
Crystal system: tetragonal
VASP energy (eV per atom): -4.467
Formation energy from the elements (eV/f.u.): 1.21


No. 9
Material: TiBePt4
Method: DFT, GGA-PBE
State: optimized geometry

```
TiBePt4
1.0
-0.935 1.642 -3.641
-0.447 -2.414 -3.284
-6.828 -0.907 -0.967
Ti Be Pt
1 1 4
Direct
0.500 0.500 0.500
0.000 0.000 0.000
0.631 0.631 0.107
0.369 0.369 0.893
0.118 0.118 0.646
0.882 0.882 0.354
```

Theoretical density (g/cm³): 14.60
Crystal system: trigonal
VASP energy (eV per atom): -6.586
Formation energy from the elements (eV/f.u.): -3.73


No. 10
Material: Ca2InPd
Method: DFT, GGA-PBE
State: optimized geometry

```
Ca2InPd
1.0
-2.305 -3.055 -0.034
1.096 -3.205 -1.781
3.872 -5.407 8.000
Ca Pd In
2 1 1
Direct
0.108 0.108 0.676
0.892 0.892 0.324
0.500 0.500 0.500
0.000 0.000 0.000
```

Theoretical density (g/cm³): 3.88
Crystal system: trigonal
VASP energy (eV per atom): -3.193
Formation energy from the elements (eV/f.u.): -0.84


No. 11
Material: PmEuAgPt
Method: DFT, GGA-PBE
State: optimized geometry

```
PmEuAgPt
1.0
-2.642 -3.350 2.915
-3.409 -3.204 -2.193
1.027 -5.055 -0.299
Eu Ag Pt Pm
1 1 1 1
Direct
0.000 0.000 0.000
0.250 0.250 0.250
0.750 0.750 0.750
0.500 0.500 0.500
```

Theoretical density (g/cm³): 10.21
Crystal system: cubic
VASP energy (eV per atom): -6.616
Formation energy from the elements (eV/f.u.): -2.55


No. 12
Material: InTe2P
Method: DFT, GGA-PBE
State: optimized geometry

```
InTe2P
1.0
-0.167 -4.409 7.915
2.153 -6.922 5.437
3.936 -3.593 7.329
P Te In
1 2 1
Direct
0.000 0.000 0.000
0.098 0.098 0.098
0.902 0.902 0.902
0.500 0.500 0.500
```

Theoretical density (g/cm³): 4.94
Crystal system: trigonal
VASP energy (eV per atom): -3.251
Energy relative to the elements, uncorrected (eV per atom): 0.356


No. 13
Material: Ce6GeHPb2
Method: DFT, GGA-PBE
State: optimized geometry

```
Ce6GeHPb2
1.0
-3.232 3.892 1.730
-2.283 0.250 -4.828
-6.690 -6.805 2.811
Ce Ge H Pb
6 1 1 2
Direct
0.500 0.000 0.000
0.500 0.000 0.500
0.000 0.500 0.000
0.000 0.500 0.500
0.500 0.500 0.718
0.500 0.500 0.282
0.500 0.500 0.000
0.500 0.500 0.500
0.000 0.000 0.748
0.000 0.000 0.252
```

Theoretical density (g/cm³): 7.76
Crystal system: tetragonal
VASP energy (eV per atom): -5.323


No. 14
Material: Ac3In3Ir2
Method: DFT, GGA-PBE
State: optimized geometry

```
Ac3In3Ir2
1.0
4.241 0.000 0.000
-2.121 6.101 0.000
0.000 0.000 17.634
Ac In Ir
6 6 4
Direct
0.938 0.875 0.396
0.062 0.125 0.896
0.938 0.875 0.104
0.062 0.125 0.604
0.678 0.355 0.250
0.322 0.645 0.750
0.663 0.325 0.462
0.337 0.675 0.962
0.663 0.325 0.038
0.337 0.675 0.538
0.392 0.784 0.250
0.608 0.216 0.750
0.749 0.498 0.879
0.251 0.502 0.379
0.749 0.498 0.621
0.251 0.502 0.121
```

Theoretical density (g/cm³): 10.26
Crystal system: orthorhombic
VASP energy (eV per atom): -5.305
Formation energy from the elements (eV/f.u.): -4.18


No. 15
Material: KMn2Fe2
Method: DFT, GGA-PBE
State: optimized geometry

```
KMn2Fe2
1.0
3.693 0.000 0.000
0.000 3.693 0.000
1.846 1.846 7.246
K Mn Fe
1 2 2
Direct
0.000 0.000 0.000
0.349 0.349 0.303
0.651 0.651 0.697
0.750 0.250 0.500
0.250 0.750 0.500
```

Theoretical density (g/cm³): 4.38
Crystal system: tetragonal
VASP energy (eV per atom): -6.363
Formation energy from the elements (eV/f.u.): 4.55


No. 16
Material: SrTcSb2Te
Method: DFT, GGA-PBE
State: optimized geometry

```
SrTcSb2Te
1.0
-1.300 -2.746 4.028
4.864 -1.009 0.882
0.403 5.079 3.592
Sb Te Tc Sr
2 1 1 1
Direct
0.000 0.500 0.000
0.500 0.000 0.000
0.000 0.000 0.500
0.000 0.000 0.000
0.500 0.500 0.500
```

Theoretical density (g/cm³): 5.83
Crystal system: tetragonal
VASP energy (eV per atom): -4.825
Energy relative to the elements, uncorrected (eV per atom): -0.138


No. 17
Material: Ga2ReNi2
Method: DFT, GGA-PBE
State: optimized geometry

```
Ga2ReNi2
1.0
-2.165 -4.118 -5.238
6.493 -0.066 -2.632
0.567 -2.144 1.451
Re Ga Ni
2 4 4
Direct
0.000 0.000 0.000
0.500 0.500 0.000
0.171 0.671 0.500
0.671 0.829 0.500
0.829 0.329 0.500
0.329 0.171 0.500
0.374 0.874 0.000
0.874 0.626 0.000
0.626 0.126 0.000
0.126 0.374 0.000
```

Theoretical density (g/cm³): 11.31
Crystal system: tetragonal
VASP energy (eV per atom): -6.032
Formation energy from the elements (eV/f.u.): -0.10


No. 18
Material: BaY2P
Method: DFT, GGA-PBE
State: optimized geometry

```
BaY2P
1.0
-1.856 3.029 5.767
1.856 -3.029 5.767
1.856 3.029 -5.767
Ba Y P
1 2 1
Direct
0.000 0.500 0.500
0.679 0.679 0.000
0.321 0.321 0.000
0.500 0.000 0.500
```

Theoretical density (g/cm³): 4.43
Crystal system: orthorhombic
VASP energy (eV per atom): -5.614
Formation energy from the elements (eV/f.u.): -2.20


No. 19
Material: YbTcO3
Method: DFT, GGA-PBE
State: optimized geometry

```
YbTcO3
1.0
-1.338 0.199 3.672
-3.253 -1.886 -1.083
1.715 -3.423 0.810
Yb Tc O
1 1 3
Direct
0.000 0.000 0.000
0.500 0.500 0.500
0.500 0.000 0.500
0.500 0.500 0.000
0.000 0.500 0.500
```

Theoretical density (g/cm³): 8.84
Crystal system: cubic
VASP energy (eV per atom): -7.433
Energy relative to the elements, uncorrected (eV per atom): -2.080


No. 20
Material: RbBa2HfAs
Method: DFT, GGA-PBE
State: optimized geometry

```
RbBa2HfAs
1.0
-0.922 5.467 -3.134
-1.578 -3.316 -5.320
-6.107 0.006 1.807
As Hf Ba Rb
1 1 2 1
Direct
0.000 0.000 0.000
0.500 0.500 0.500
0.000 0.000 0.500
0.500 0.000 0.000
0.000 0.500 0.000
```

Theoretical density (g/cm³): 3.89
Crystal system: tetragonal
VASP energy (eV per atom): -3.369
Formation energy from the elements (eV/f.u.): 2.57


Magnetic moment values, unit μB/atom, following the record order: 0.414 0.004 0.000 0.000 0.001 0.000 0.000 0.383 0.000 0.000 1.770 0.000 0.660 0.000 0.928 0.000 0.000 0.000 0.307 0.790.